Entry 1:
# Tl2HgW

Crystalline Tl2HgW at its relaxed geometry (PBE, the Alexandria database).

Unit cell a=3.0495 b=4.8120 c=6.0723 alpha=90.00 beta=90.00 gamma=90.00
Closest atoms and distances in Å follow each position.
Space group Pmm2 (No. 25)
One atom of each set of equivalent atoms:
1 Tl 0.0000 0.0000 0.0000  2 W 3.02-3.06, 6 Tl 3.05-3.36, 4 Hg 3.20
2 Tl 0.5000 0.5000 0.2939  1 Hg 2.83, 2 Tl 3.05, 4 W 3.12
3 Hg 0.5000 0.5000 0.7596  1 Tl 2.83, 2 Hg 3.05
4 W 0.0000 0.0000 0.5032  6 Tl 3.02-3.12, 2 W 3.05, 4 Hg 3.25

Output
The calculation puts the formation energy at 0.917 eV/atom. As for the total energy: -14.321 eV per cell. For the total magnetization, the calculation gives 0.0 Bohr magnetons per cell. The energy above the most stable polymorph in this dataset is 201 meV/atom.

---

Entry 2:
# U4FeGe8

Crystalline U4FeGe8 at its relaxed geometry (PBE, the Alexandria database).

Unit cell a=4.0225 b=4.1131 c=15.5326 alpha=90.00 beta=90.00 gamma=90.00
Closest atoms and distances in Å follow each position.
Space group Pmm2 (No. 25)
One atom of each set of equivalent atoms:
1 U 0.0000 0.0000 0.0000  10 Ge 2.94-3.07
2 U 0.0000 0.5000 0.4875  10 Ge 2.93-3.20
3 U 0.5000 0.0000 0.7851  10 Ge 3.06-3.41, 4 Fe 3.14
4 U 0.5000 0.5000 0.2907  10 Ge 2.94-3.18
5 Fe 0.0000 0.5000 0.7041  5 Ge 2.31-2.39
6 Ge 0.0000 0.0000 0.3297  2 Ge 2.71, 4 U 2.94
7 Ge 0.0000 0.0000 0.6259  2 Fe 2.39
8 Ge 0.0000 0.5000 0.1446  4 Ge 2.88, 4 U 3.03-3.05
9 Ge 0.0000 0.5000 0.8528  1 Fe 2.31
10 Ge 0.5000 0.0000 0.1463  4 Ge 2.88, 4 U 3.04
11 Ge 0.5000 0.0000 0.4465  2 Ge 2.71, 4 U 2.95
12 Ge 0.5000 0.5000 0.6250  2 Fe 2.36
13 Ge 0.5000 0.5000 0.9603  2 Ge 2.61

Output
The calculation puts the formation energy at -0.214 eV/atom. As for the total energy: -93.339 eV per cell. For the total magnetization, the calculation gives 7.2 Bohr magnetons per cell.

---

Entry 3:
# La4TaCd

Crystalline La4TaCd at its relaxed geometry (PBE, the Alexandria database).

Unit cell a=9.0389 b=9.0389 c=9.0389 alpha=90.00 beta=90.00 gamma=90.00
Closest atoms and distances in Å follow each position.
Space group F-43m (No. 216)
One atom of each set of equivalent atoms:
1 La 0.1236 0.1236 0.1236  6 La 3.16-3.23
2 Ta 0.2500 0.2500 0.7500  12 La 3.74, 4 Cd 3.91
3 Cd 0.0000 0.0000 0.5000  12 La 3.75, 4 Ta 3.91

Output
The calculation puts the formation energy at 0.700 eV/atom. As for the total energy: -113.114 eV per cell. For the total magnetization, the calculation gives 7.1 Bohr magnetons per cell.

---

Entry 4:
# La2CrGaC

Crystalline La2CrGaC at its relaxed geometry (PBE, the Alexandria database).

Unit cell a=5.3605 b=5.3605 c=3.9103 alpha=90.00 beta=90.00 gamma=90.00
Closest atoms and distances in Å follow each position.
Space group P4/mmm (No. 123)
One atom of each set of equivalent atoms:
1 La 0.0000 0.5000 0.0000  2 C 2.68
2 Cr 0.0000 0.0000 0.5000  2 C 1.96
3 Ga 0.5000 0.5000 0.5000  8 La 3.32
4 C 0.0000 0.0000 0.0000  2 Cr 1.96

Output
The calculation puts the formation energy at -0.193 eV/atom. As for the total energy: -32.694 eV per cell. For the total magnetization, the calculation gives 2.3 Bohr magnetons per cell.

---

Entry 5:
# LaCuAu

Crystalline LaCuAu at its relaxed geometry (PBE, the Alexandria database).

Unit cell a=3.7351 b=3.7351 c=9.5978 alpha=90.00 beta=90.00 gamma=90.00
Closest atoms and distances in Å follow each position.
Space group I4mm (No. 107)
One atom of each set of equivalent atoms:
1 La 0.0000 0.0000 0.0000  5 Cu 3.03-3.18, 5 Au 3.06-3.16
2 Cu 0.0000 0.0000 0.6842  4 Au 2.94, 5 La 3.03-3.18
3 Au 0.0000 0.0000 0.3188  4 Cu 2.94, 5 La 3.06-3.16

Output
The calculation puts the formation energy at -0.409 eV/atom. As for the total energy: -27.053 eV per cell. For the total magnetization, the calculation gives 0.0 Bohr magnetons per cell.

---

Entry 6:
# La4Sm5Y3

Crystalline La4Sm5Y3 at its relaxed geometry (PBE, the Alexandria database).

Unit cell a=16.5367 b=6.0412 c=9.5701 alpha=90.00 beta=117.31 gamma=90.00
Closest atoms and distances in Å follow each position.
Space group C2/m (No. 12)
One atom of each set of equivalent atoms:
1 La 0.0844 0.0000 0.4430  2 La 3.43-3.70, 6 Sm 3.48-3.81, 1 Y 3.53
2 La 0.2168 0.0000 0.8771  3 Y 3.42-3.57, 3 La 3.67-3.70, 3 Sm 3.73-3.77
3 Sm 0.0000 0.0000 0.0000  4 Y 3.02-3.15
4 Sm 0.0724 0.5000 0.7035  2 Y 3.34-3.55, 2 Sm 3.51-3.70, 2 La 3.73
5 Sm 0.1708 0.5000 0.3876  4 Y 3.27-3.57, 3 La 3.48-3.60
6 Y 0.0000 0.5000 0.0000  2 Sm 3.02
7 Y 0.2104 0.0000 0.2289  3 Sm 3.15-3.34, 1 La 3.42

Output
The calculation puts the formation energy at 0.212 eV/atom. As for the total energy: -120.317 eV per cell. For the total magnetization, the calculation gives 0.4 Bohr magnetons per cell.

---

Entry 7:
# CaHo6Se8

Crystalline CaHo6Se8 at its relaxed geometry (PBE, the Alexandria database).

Unit cell a=11.4650 b=11.4650 c=11.4650 alpha=90.00 beta=90.00 gamma=90.00
Closest atoms and distances in Å follow each position.
Space group Fm-3m (No. 225)
One atom of each set of equivalent atoms:
1 Ca 0.0000 0.0000 0.0000  6 Se 2.92
2 Ho 0.0000 0.2500 0.2500  6 Se 2.87
3 Se 0.0000 0.0000 0.2550  4 Ho 2.87, 1 Ca 2.92
4 Se 0.2500 0.2500 0.2500  6 Ho 2.87

Output
As for the total energy: -339.641 eV per cell. For the total magnetization, the calculation gives 0.0 Bohr magnetons per cell. The uncorrected formation energy comes out at -1.838 eV per atom.

---

Entry 8:
# CeDy6Ho

Crystalline CeDy6Ho at its relaxed geometry (PBE, the Alexandria database).

Unit cell a=5.0041 b=5.0041 c=9.9941 alpha=90.00 beta=90.00 gamma=90.00
Closest atoms and distances in Å follow each position.
Space group P4/mmm (No. 123)
One atom of each set of equivalent atoms:
1 Ce 0.0000 0.0000 0.0000  12 Dy 3.53-3.54
2 Dy 0.0000 0.5000 0.2489  8 Dy 3.53-3.54, 2 Ce 3.53, 2 Ho 3.54
3 Dy 0.5000 0.5000 0.0000  8 Dy 3.53, 4 Ce 3.54
4 Dy 0.5000 0.5000 0.5000  4 Ho 3.54, 8 Dy 3.54
5 Ho 0.0000 0.0000 0.5000  12 Dy 3.54

Output
The calculation puts the formation energy at 0.045 eV/atom. As for the total energy: -37.768 eV per cell. For the total magnetization, the calculation gives 0.9 Bohr magnetons per cell. The energy above the most stable polymorph in this dataset is 0 meV/atom.

---

Entry 9:
# TbCe2WN5

Crystalline TbCe2WN5 at its relaxed geometry (PBE, the Alexandria database).

Unit cell a=6.6483 b=6.6483 c=5.8599 alpha=90.00 beta=90.00 gamma=90.00
Closest atoms and distances in Å follow each position.
Space group P4/mbm (No. 127)
One atom of each set of equivalent atoms:
1 Tb 0.0000 0.0000 0.0000  10 N 2.89-2.93
2 Ce 0.1696 0.3304 0.5000  4 N 2.32-2.47
3 W 0.0000 0.5000 0.0000  4 N 1.95
4 N 0.0000 0.0000 0.5000  4 Ce 2.47
5 N 0.1479 0.6479 0.2345  1 W 1.95

Output
As for the total energy: -159.845 eV per cell. For the total magnetization, the calculation gives 0.0 Bohr magnetons per cell. The uncorrected formation energy comes out at -0.983 eV per atom.

---

Entry 10:
# AcBiSb2

Crystalline AcBiSb2 at its relaxed geometry (PBE, the Alexandria database).

Unit cell a=4.3169 b=4.3169 c=6.8495 alpha=90.00 beta=90.00 gamma=90.00
Closest atoms and distances in Å follow each position.
Space group P4/mmm (No. 123)
One atom of each set of equivalent atoms:
1 Ac 0.0000 0.0000 0.0000  2 Bi 3.42, 8 Sb 3.50
2 Bi 0.0000 0.0000 0.5000  2 Ac 3.42, 8 Sb 3.50
3 Sb 0.5000 0.5000 0.2509  2 Sb 3.41-3.44, 4 Bi 3.50, 4 Ac 3.50

Output
As for the total energy: -17.930 eV per cell. For the total magnetization, the calculation gives 0.0 Bohr magnetons per cell. The energy above the most stable polymorph in this dataset is 143 meV/atom. The uncorrected formation energy comes out at -0.424 eV per atom.

---

Entry 11:
# Ce2MnCd

Crystalline Ce2MnCd at its relaxed geometry (PBE, the Alexandria database).

Unit cell a=3.1989 b=3.1989 c=8.7141 alpha=90.00 beta=90.00 gamma=90.00
Closest atoms and distances in Å follow each position.
Space group P4/mmm (No. 123)
One atom of each set of equivalent atoms:
1 Ce 0.0000 0.0000 0.1973  4 Mn 2.84
2 Mn 0.5000 0.5000 0.0000  8 Ce 2.84
3 Cd 0.5000 0.5000 0.5000  4 Cd 3.20, 8 Ce 3.47

Output
The calculation puts the formation energy at 0.022 eV/atom. As for the total energy: -21.864 eV per cell. For the total magnetization, the calculation gives 0.0 Bohr magnetons per cell. The energy above the most stable polymorph in this dataset is 0 meV/atom.

---

Entry 12:
# NaScRe2

Crystalline NaScRe2 at its relaxed geometry (PBE, the Alexandria database).

Unit cell a=3.8808 b=3.8808 c=20.1252 alpha=90.00 beta=90.00 gamma=90.00
Closest atoms and distances in Å follow each position.
Space group I-42d (No. 122)
One atom of each set of equivalent atoms:
1 Na 0.0000 0.0000 0.0000  4 Sc 2.74, 4 Re 2.94
2 Sc 0.0000 0.0000 0.5000  4 Na 2.74, 4 Re 2.80
3 Re 0.1950 0.7500 0.6250  2 Re 2.46

Output
The calculation puts the formation energy at 0.880 eV/atom. As for the total energy: -116.114 eV per cell. For the total magnetization, the calculation gives 0.0 Bohr magnetons per cell. The energy above the most stable polymorph in this dataset is 0 meV/atom.